[1]
First-principles (PBE) data for a relaxed structure of Th4Sc, as listed in Alexandria.

```
data_Th4Sc
_cell_length_a 5.565
_cell_length_b 5.565
_cell_length_c 5.565
_cell_angle_alpha 90.00
_cell_angle_beta 90.00
_cell_angle_gamma 90.00
_space_group_name_H-M_alt 'P m -3 m'
_space_group_IT_number 221
_space_group_name_Hall '-P 4 2 3'
loop_
_atom_site_label
_atom_site_type_symbol
_atom_site_fract_x
_atom_site_fract_y
_atom_site_fract_z
Th1 Th 0.000 0.000 0.000
Th2 Th 0.000 0.500 0.500
Sc1 Sc 0.500 0.500 0.500
```

Calculated values
The formation energy comes out at 0.841 eV per atom. The energy comes out at -6.3615 eV/atom.

[2]
First-principles (PBE) data for a relaxed structure of K2NaHg10, as listed in Alexandria.

```
data_K2NaHg10
_cell_length_a 11.501
_cell_length_b 13.207
_cell_length_c 6.206
_cell_angle_alpha 90.00
_cell_angle_beta 90.00
_cell_angle_gamma 90.00
_space_group_name_H-M_alt 'P b a m'
_space_group_IT_number 55
_space_group_name_Hall '-P 2 2ab'
loop_
_atom_site_label
_atom_site_type_symbol
_atom_site_fract_x
_atom_site_fract_y
_atom_site_fract_z
K1 K 0.128 0.141 0.000
Na1 Na 0.000 0.500 0.500
Hg1 Hg 0.031 0.888 0.500
Hg2 Hg 0.091 0.692 0.240
Hg3 Hg 0.179 0.305 0.500
Hg4 Hg 0.235 0.041 0.500
```

Calculated values
The formation energy comes out at -0.120 eV per atom. The energy comes out at -0.6224 eV/atom.

[3]
First-principles (PBE) data for a relaxed structure of As4Ir, as listed in Alexandria.

```
data_As4Ir
_cell_length_a 5.129
_cell_length_b 5.129
_cell_length_c 7.587
_cell_angle_alpha 90.00
_cell_angle_beta 90.00
_cell_angle_gamma 90.00
_space_group_name_H-M_alt 'I 4/m m m'
_space_group_IT_number 139
_space_group_name_Hall '-I 4 2'
loop_
_atom_site_label
_atom_site_type_symbol
_atom_site_fract_x
_atom_site_fract_y
_atom_site_fract_z
As1 As 0.000 0.000 0.175
As2 As 0.000 0.500 0.250
Ir1 Ir 0.000 0.000 0.500
```

Calculated values
The formation energy comes out at 0.617 eV per atom. The energy comes out at -4.8745 eV/atom.

[4]
First-principles (PBE) data for a relaxed structure of LaTb2Mg, as listed in Alexandria.

```
data_LaTb2Mg
_cell_length_a 7.924
_cell_length_b 7.924
_cell_length_c 7.924
_cell_angle_alpha 90.00
_cell_angle_beta 90.00
_cell_angle_gamma 90.00
_space_group_name_H-M_alt 'F m -3 m'
_space_group_IT_number 225
_space_group_name_Hall '-F 4 2 3'
loop_
_atom_site_label
_atom_site_type_symbol
_atom_site_fract_x
_atom_site_fract_y
_atom_site_fract_z
La1 La 0.000 0.000 0.000
Tb1 Tb 0.250 0.250 0.250
Mg1 Mg 0.000 0.000 0.500
```

Calculated values
The formation energy comes out at 0.106 eV per atom. The energy comes out at -3.8393 eV/atom.

[5]
First-principles (PBE) data for a relaxed structure of TmBe4Cr, as listed in Alexandria.

```
data_TmBe4Cr
_cell_length_a 6.608
_cell_length_b 6.608
_cell_length_c 6.608
_cell_angle_alpha 90.00
_cell_angle_beta 90.00
_cell_angle_gamma 90.00
_space_group_name_H-M_alt 'F -4 3 m'
_space_group_IT_number 216
_space_group_name_Hall 'F -4 2 3'
loop_
_atom_site_label
_atom_site_type_symbol
_atom_site_fract_x
_atom_site_fract_y
_atom_site_fract_z
Tm1 Tm 0.000 0.000 0.000
Be1 Be 0.123 0.123 0.377
Cr1 Cr 0.250 0.250 0.750
```

Calculated values
The formation energy comes out at -0.012 eV per atom. The energy comes out at -4.8458 eV/atom.

[6]
First-principles (PBE) data for a relaxed structure of TbYGaFe, as listed in Alexandria.

```
data_TbYGaFe
_cell_length_a 7.020
_cell_length_b 7.020
_cell_length_c 7.020
_cell_angle_alpha 90.00
_cell_angle_beta 90.00
_cell_angle_gamma 90.00
_space_group_name_H-M_alt 'F -4 3 m'
_space_group_IT_number 216
_space_group_name_Hall 'F -4 2 3'
loop_
_atom_site_label
_atom_site_type_symbol
_atom_site_fract_x
_atom_site_fract_y
_atom_site_fract_z
Tb1 Tb 0.000 0.000 0.000
Y1 Y 0.000 0.000 0.500
Ga1 Ga 0.250 0.250 0.250
Fe1 Fe 0.250 0.250 0.750
```

Calculated values
The formation energy comes out at -0.178 eV per atom. The energy comes out at -5.8241 eV/atom.

[7]
First-principles (PBE) data for a relaxed structure of ZrVS4, as listed in Alexandria.

```
data_ZrVS4
_cell_length_a 6.123
_cell_length_b 6.129
_cell_length_c 6.087
_cell_angle_alpha 90.00
_cell_angle_beta 93.77
_cell_angle_gamma 90.00
_space_group_name_H-M_alt 'P 1 21/c 1'
_space_group_IT_number 14
_space_group_name_Hall '-P 2ybc'
loop_
_atom_site_label
_atom_site_type_symbol
_atom_site_fract_x
_atom_site_fract_y
_atom_site_fract_z
Zr1 Zr 0.000 0.000 0.000
V1 V 0.500 0.000 0.500
S1 S 0.159 0.141 0.377
S2 S 0.363 0.654 0.332
```

Calculated values
The calculation puts the uncorrected formation energy at -0.86 eV per atom. The energy comes out at -6.5564 eV/atom.

[8]
First-principles (PBE) data for a relaxed structure of Ac2TcSb, as listed in Alexandria.

```
data_Ac2TcSb
_cell_length_a 5.283
_cell_length_b 5.283
_cell_length_c 4.240
_cell_angle_alpha 90.00
_cell_angle_beta 90.00
_cell_angle_gamma 90.00
_space_group_name_H-M_alt 'P 4/m m m'
_space_group_IT_number 123
_space_group_name_Hall '-P 4 2'
loop_
_atom_site_label
_atom_site_type_symbol
_atom_site_fract_x
_atom_site_fract_y
_atom_site_fract_z
Ac1 Ac 0.000 0.500 0.000
Tc1 Tc 0.000 0.000 0.500
Sb1 Sb 0.500 0.500 0.500
```

Calculated values
The calculation puts the uncorrected formation energy at -0.07 eV per atom. The energy comes out at -5.7473 eV/atom.

[9]
First-principles (PBE) data for a relaxed structure of Zn2ReN, as listed in Alexandria.

```
data_Zn2ReN
_cell_length_a 7.471
_cell_length_b 7.471
_cell_length_c 3.958
_cell_angle_alpha 90.00
_cell_angle_beta 90.00
_cell_angle_gamma 90.00
_space_group_name_H-M_alt 'I -4 2 d'
_space_group_IT_number 122
_space_group_name_Hall 'I -4 2bw'
loop_
_atom_site_label
_atom_site_type_symbol
_atom_site_fract_x
_atom_site_fract_y
_atom_site_fract_z
Zn1 Zn 0.156 0.250 0.125
Re1 Re 0.000 0.000 0.500
N1 N 0.000 0.000 0.000
```

Calculated values
The calculation puts the uncorrected formation energy at 0.58 eV per atom. The energy comes out at -5.2479 eV/atom.

[10]
First-principles (PBE) data for a relaxed structure of Tm4GeCS2, as listed in Alexandria.

```
data_Tm4GeCS2
_cell_length_a 5.446
_cell_length_b 5.446
_cell_length_c 11.034
_cell_angle_alpha 90.00
_cell_angle_beta 90.00
_cell_angle_gamma 90.00
_space_group_name_H-M_alt 'I -4 m 2'
_space_group_IT_number 119
_space_group_name_Hall 'I -4 -2'
loop_
_atom_site_label
_atom_site_type_symbol
_atom_site_fract_x
_atom_site_fract_y
_atom_site_fract_z
Tm1 Tm 0.000 0.000 0.220
Tm2 Tm 0.000 0.500 0.000
Ge1 Ge 0.000 0.500 0.250
C1 C 0.000 0.000 0.000
S1 S 0.000 0.000 0.500
S2 S 0.000 0.500 0.750
```

Calculated values
The calculation puts the uncorrected formation energy at -1.27 eV per atom. The energy comes out at -6.2714 eV/atom.

[11]
First-principles (PBE) data for a relaxed structure of HfGe2F, as listed in Alexandria.

```
data_HfGe2F
_cell_length_a 3.639
_cell_length_b 3.639
_cell_length_c 20.547
_cell_angle_alpha 90.00
_cell_angle_beta 90.00
_cell_angle_gamma 90.00
_space_group_name_H-M_alt 'I -4 2 d'
_space_group_IT_number 122
_space_group_name_Hall 'I -4 2bw'
loop_
_atom_site_label
_atom_site_type_symbol
_atom_site_fract_x
_atom_site_fract_y
_atom_site_fract_z
Hf1 Hf 0.000 0.000 0.000
Ge1 Ge 0.243 0.250 0.125
F1 F 0.000 0.000 0.500
```

Calculated values
The calculation puts the uncorrected formation energy at -0.54 eV per atom. The energy comes out at -5.8077 eV/atom.

[12]
First-principles (PBE) data for a relaxed structure of Ba2AsAu3, as listed in Alexandria.

```
data_Ba2AsAu3
_cell_length_a 8.833
_cell_length_b 9.481
_cell_length_c 16.647
_cell_angle_alpha 90.00
_cell_angle_beta 90.00
_cell_angle_gamma 90.00
_space_group_name_H-M_alt 'F m m m'
_space_group_IT_number 69
_space_group_name_Hall '-F 2 2'
loop_
_atom_site_label
_atom_site_type_symbol
_atom_site_fract_x
_atom_site_fract_y
_atom_site_fract_z
Ba1 Ba 0.239 0.000 0.000
Ba2 Ba 0.250 0.250 0.250
As1 As 0.000 0.000 0.334
Au1 Au 0.000 0.000 0.171
Au2 Au 0.000 0.241 0.415
```

Calculated values
The formation energy comes out at -0.801 eV per atom. The energy comes out at -3.8553 eV/atom.

[13]
First-principles (PBE) data for a relaxed structure of Th2Au3, as listed in Alexandria.

```
data_Th2Au3
_cell_length_a 10.271
_cell_length_b 10.271
_cell_length_c 10.271
_cell_angle_alpha 90.00
_cell_angle_beta 90.00
_cell_angle_gamma 90.00
_space_group_name_H-M_alt 'I -4 3 d'
_space_group_IT_number 220
_space_group_name_Hall 'I -4bd 2c 3'
loop_
_atom_site_label
_atom_site_type_symbol
_atom_site_fract_x
_atom_site_fract_y
_atom_site_fract_z
Th1 Th 0.038 0.038 0.038
Au1 Au 0.000 0.250 0.236
```

Calculated values
The formation energy comes out at -0.463 eV per atom. The energy comes out at -5.3969 eV/atom.

[14]
First-principles (PBE) data for a relaxed structure of AgMoAs2, as listed in Alexandria.

```
data_AgMoAs2
_cell_length_a 3.158
_cell_length_b 3.629
_cell_length_c 13.165
_cell_angle_alpha 90.00
_cell_angle_beta 90.00
_cell_angle_gamma 90.00
_space_group_name_H-M_alt 'I m m 2'
_space_group_IT_number 44
_space_group_name_Hall 'I 2 -2'
loop_
_atom_site_label
_atom_site_type_symbol
_atom_site_fract_x
_atom_site_fract_y
_atom_site_fract_z
Ag1 Ag 0.000 0.000 0.000
Mo1 Mo 0.000 0.500 0.270
As1 As 0.000 0.000 0.620
As2 As 0.000 0.500 0.841
```

Calculated values
The formation energy comes out at 0.095 eV per atom. The energy comes out at -5.6505 eV/atom.

[15]
First-principles (PBE) data for a relaxed structure of CsIn2Te2, as listed in Alexandria.

```
data_CsIn2Te2
_cell_length_a 5.664
_cell_length_b 5.664
_cell_length_c 13.689
_cell_angle_alpha 90.00
_cell_angle_beta 90.00
_cell_angle_gamma 90.00
_space_group_name_H-M_alt 'I 4/m m m'
_space_group_IT_number 139
_space_group_name_Hall '-I 4 2'
loop_
_atom_site_label
_atom_site_type_symbol
_atom_site_fract_x
_atom_site_fract_y
_atom_site_fract_z
Cs1 Cs 0.000 0.000 0.000
In1 In 0.000 0.500 0.250
Te1 Te 0.000 0.000 0.342
```

Calculated values
The calculation puts the uncorrected formation energy at -0.45 eV per atom. The energy comes out at -2.9706 eV/atom.

[16]
First-principles (PBE) data for a relaxed structure of TlAgPdO4, as listed in Alexandria.

```
data_TlAgPdO4
_cell_length_a 6.290
_cell_length_b 6.754
_cell_length_c 9.573
_cell_angle_alpha 90.00
_cell_angle_beta 90.00
_cell_angle_gamma 90.00
_space_group_name_H-M_alt 'I m m a'
_space_group_IT_number 74
_space_group_name_Hall '-I 2b 2'
loop_
_atom_site_label
_atom_site_type_symbol
_atom_site_fract_x
_atom_site_fract_y
_atom_site_fract_z
Tl1 Tl 0.000 0.000 0.000
Ag1 Ag 0.000 0.250 0.366
Pd1 Pd 0.250 0.250 0.750
O1 O 0.000 0.051 0.753
O2 O 0.238 0.250 0.964
```

Calculated values
The calculation puts the uncorrected formation energy at -0.41 eV per atom. The energy comes out at -4.7265 eV/atom.

[17]
First-principles (PBE) data for a relaxed structure of La8Te4HIr3, as listed in Alexandria.

```
data_La8Te4HIr3
_cell_length_a 8.5239
_cell_length_b 8.5239
_cell_length_c 22.9218
_cell_angle_alpha 90.00
_cell_angle_beta 90.00
_cell_angle_gamma 120.00
_space_group_name_H-M_alt 'R -3 m'
_space_group_IT_number 166
_space_group_name_Hall '-R 3 2"'
loop_
_atom_site_label
_atom_site_type_symbol
_atom_site_fract_x
_atom_site_fract_y
_atom_site_fract_z
La1 La 0.0000 0.0000 0.2367
La2 La 0.0093 0.5046 0.7630
Te1 Te 0.0000 0.0000 0.0000
Te2 Te 0.0000 0.5000 0.0000
H1 H 0.0000 0.0000 0.5000
Ir1 Ir 0.0000 0.5000 0.5000
```

Calculated values
The energy comes out at -6.2318 eV/atom.

[18]
First-principles (PBE) data for a relaxed structure of BeAl2Cd, as listed in Alexandria.

```
data_BeAl2Cd
_cell_length_a 3.971
_cell_length_b 3.971
_cell_length_c 4.151
_cell_angle_alpha 90.00
_cell_angle_beta 90.00
_cell_angle_gamma 90.00
_space_group_name_H-M_alt 'P 4/m m m'
_space_group_IT_number 123
_space_group_name_Hall '-P 4 2'
loop_
_atom_site_label
_atom_site_type_symbol
_atom_site_fract_x
_atom_site_fract_y
_atom_site_fract_z
Be1 Be 0.000 0.000 0.000
Al1 Al 0.000 0.500 0.500
Cd1 Cd 0.500 0.500 0.000
```

Calculated values
The formation energy comes out at 0.344 eV per atom. The energy comes out at -2.6880 eV/atom.

[19]
First-principles (PBE) data for a relaxed structure of DyMg12Ni5, as listed in Alexandria.

```
data_DyMg12Ni5
_cell_length_a 8.041
_cell_length_b 8.628
_cell_length_c 9.816
_cell_angle_alpha 90.00
_cell_angle_beta 90.00
_cell_angle_gamma 90.00
_space_group_name_H-M_alt 'I m m m'
_space_group_IT_number 71
_space_group_name_Hall '-I 2 2'
loop_
_atom_site_label
_atom_site_type_symbol
_atom_site_fract_x
_atom_site_fract_y
_atom_site_fract_z
Dy1 Dy 0.000 0.000 0.000
Mg1 Mg 0.000 0.307 0.180
Mg2 Mg 0.180 0.268 0.500
Mg3 Mg 0.192 0.000 0.273
Ni1 Ni 0.000 0.000 0.500
Ni2 Ni 0.000 0.500 0.381
Ni3 Ni 0.150 0.500 0.000
```

Calculated values
The formation energy comes out at -0.082 eV per atom. The energy comes out at -3.0062 eV/atom.

[20]
First-principles (PBE) data for a relaxed structure of LiPaVSb, as listed in Alexandria.

```
data_LiPaVSb
_cell_length_a 6.679
_cell_length_b 6.679
_cell_length_c 6.679
_cell_angle_alpha 90.00
_cell_angle_beta 90.00
_cell_angle_gamma 90.00
_space_group_name_H-M_alt 'F -4 3 m'
_space_group_IT_number 216
_space_group_name_Hall 'F -4 2 3'
loop_
_atom_site_label
_atom_site_type_symbol
_atom_site_fract_x
_atom_site_fract_y
_atom_site_fract_z
Li1 Li 0.000 0.000 0.000
Pa1 Pa 0.250 0.250 0.750
V1 V 0.000 0.000 0.500
Sb1 Sb 0.250 0.250 0.250
```

Calculated values
The calculation puts the uncorrected formation energy at -0.02 eV per atom. The energy comes out at -6.1866 eV/atom.